This record from the Alexandria database describes ZrTlAs after structural relaxation. The functional is PBE-GGA.

It has space group F-43m (No. 216), with a = 6.763 Å, b = 6.763 Å, c = 6.763 Å, α = 90.00°, β = 90.00° and γ = 90.00°. The asymmetric unit holds Zr at (0.000, 0.000, 0.000), Tl at (0.250, 0.250, 0.250) and As at (0.250, 0.250, 0.750).

For the calculated total energy, the calculation gives -5.073 eV/atom. For the total magnetization, the calculation gives 0.0 μB per formula unit. Its crystal system is cubic. For the formation energy, the calculation gives 0.1150 eV per atom. The calculation puts the offset from the most stable computed form at 506.4 meV per atom.